# 1
YRhW2 PBE optimized geometry; space group = R-3m; D(E_F) = 0.96 states/eV/atom; magnetic moment = 0.000 μB per atom; energy above the most stable polymorph in this dataset = 453 meV/atom; formation energy = 0.50 eV per atom
1.0
2.913 0.000 0.000
-1.457 2.523 0.000
0.000 0.000 29.310
Y Rh W
3 3 6
Cartesian
0.000 0.000 0.000 Y
0.000 1.682 19.540 Y
1.457 0.841 9.770 Y
0.000 0.000 14.655 Rh
0.000 1.682 4.885 Rh
1.457 0.841 24.425 Rh
0.000 0.000 7.053 W
0.000 0.000 22.257 W
0.000 1.682 12.487 W
0.000 1.682 26.593 W
1.457 0.841 2.717 W
1.457 0.841 16.823 W

***

# 2
Ba5Se PBE optimized geometry; space group = Cmmm; D(E_F) = 1.39 states/eV/atom; magnetic moment = 0.000 μB per atom; energy above the most stable polymorph in this dataset = 156 meV/atom
1.0
4.419 0.000 0.000
0.000 21.024 0.000
0.000 0.000 7.237
Ba Se
10 2
Cartesian
0.000 0.000 0.000 Ba
0.000 2.429 3.619 Ba
0.000 6.924 0.000 Ba
0.000 14.100 0.000 Ba
0.000 18.596 3.619 Ba
2.210 3.588 0.000 Ba
2.210 8.084 3.619 Ba
2.210 10.512 0.000 Ba
2.210 12.941 3.619 Ba
2.210 17.437 0.000 Ba
0.000 10.512 3.619 Se
2.210 0.000 3.619 Se

***

# 3
DySc2S3 PBE optimized geometry; space group = Immm; D(E_F) = 0.48 states/eV/atom; magnetic moment = 0.000 μB per atom; energy above the most stable polymorph in this dataset = 0 meV/atom
1.0
3.770 0.000 0.000
0.000 5.341 0.000
0.000 0.000 11.280
Dy Sc S
2 4 6
Cartesian
0.000 0.000 0.000 Dy
1.885 2.670 5.640 Dy
0.000 0.000 3.841 Sc
0.000 0.000 7.439 Sc
1.885 2.670 1.799 Sc
1.885 2.670 9.481 Sc
0.000 2.670 0.000 S
0.000 2.670 3.647 S
0.000 2.670 7.633 S
1.885 0.000 1.993 S
1.885 0.000 5.640 S
1.885 0.000 9.287 S